A plane-wave DFT calculation with PBE was carried out for crystalline TaBeNiOs at its relaxed geometry.

Computed properties:
Its space-group type is F-43m (216). As for the size of the total moment: 0.0 μB/cell. The final energy comes out at -8.3445 eV/atom. For the calculated formation energy, the calculation gives -0.1970 eV per atom.

The structure in extended XYZ format:
```
16
Lattice="5.9898 0.0000 0.0000 0.0000 5.9898 0.0000 0.0000 0.0000 5.9898" Properties=species:S:1:pos:R:3 pbc="T T T"
Ta 0.0000 0.0000 0.0000
Ta 0.0000 2.9949 2.9949
Ta 2.9949 0.0000 2.9949
Ta 2.9949 2.9949 0.0000
Be 0.0000 0.0000 2.9949
Be 0.0000 2.9949 0.0000
Be 2.9949 0.0000 0.0000
Be 2.9949 2.9949 2.9949
Ni 1.4974 1.4974 1.4974
Ni 1.4974 4.4923 4.4923
Ni 4.4923 1.4974 4.4923
Ni 4.4923 4.4923 1.4974
Os 1.4974 1.4974 4.4923
Os 1.4974 4.4923 1.4974
Os 4.4923 1.4974 1.4974
Os 4.4923 4.4923 4.4923
```